[1]
Density functional theory data (PBE) for an optimized crystal structure of MgGe2Sb2.

Unit cell a=7.5178 b=7.5178 c=4.1868 alpha=90.00 beta=90.00 gamma=90.00
Closest atoms and distances in Å follow each position.
Positions (direct):
Sb: 0.1795 0.6795 0.5000  6 Ge 2.93-3.14
Sb: 0.6795 0.8205 0.5000  6 Ge 2.93-3.14
Sb: 0.8205 0.3205 0.5000  6 Ge 2.93-3.14
Sb: 0.3205 0.1795 0.5000  6 Ge 2.93-3.14
Ge: 0.3722 0.8722 0.0000  1 Ge 2.72, 2 Sb 2.93, 2 Mg 2.96
Ge: 0.8722 0.6278 0.0000  1 Ge 2.72, 2 Sb 2.93, 2 Mg 2.96
Ge: 0.6278 0.1278 0.0000  1 Ge 2.72, 2 Sb 2.93, 2 Mg 2.96
Ge: 0.1278 0.3722 0.0000  1 Ge 2.72, 2 Sb 2.93, 2 Mg 2.96
Mg: 0.0000 0.0000 0.0000  4 Ge 2.96
Mg: 0.5000 0.5000 0.0000  4 Ge 2.96

Distance to the lowest polymorph of the same formula, eV per atom: 0.029

[2]
Density functional theory data (PBE) for an optimized crystal structure of MgGeSb.

Unit cell a=4.1346 b=3.4224 c=12.4304 alpha=90.00 beta=90.00 gamma=127.16
Closest atoms and distances in Å follow each position.
Positions (direct):
Ge: 0.7238 0.4476 0.0000  6 Sb 2.92-3.07
Ge: 0.3201 0.6401 0.5000  6 Mg 2.77-2.82
Mg: 0.7232 0.4464 0.3575  3 Ge 2.77-2.82, 1 Sb 3.04
Mg: 0.7232 0.4464 0.6425  3 Ge 2.77-2.82, 1 Sb 3.04
Sb: 0.0882 0.1764 0.8275  3 Ge 2.92-3.07, 3 Mg 3.04-3.18
Sb: 0.0882 0.1764 0.1725  3 Ge 2.92-3.07, 3 Mg 3.04-3.18

[3]
Density functional theory data (PBE) for an optimized crystal structure of MgGe2Sb2.

Unit cell a=5.5652 b=5.5652 c=5.6564 alpha=60.53 beta=60.53 gamma=90.00
Closest atoms and distances in Å follow each position.
Positions (direct):
Sb: 0.7500 0.2500 0.5000  4 Ge 2.88
Sb: 0.2500 0.7500 0.5000  4 Ge 2.88
Ge: 0.3413 0.3413 0.3173  1 Ge 2.58, 1 Mg 2.77, 4 Sb 2.88
Ge: 0.6587 0.6587 0.6827  1 Ge 2.58, 1 Mg 2.77, 4 Sb 2.88
Mg: 0.0000 0.0000 0.0000  2 Ge 2.77

Distance to the lowest polymorph of the same formula, eV per atom: 0.000

[4]
Density functional theory data (PBE) for an optimized crystal structure of MgGe2Sb2.

Unit cell a=8.0470 b=8.0470 c=3.7927 alpha=90.00 beta=90.00 gamma=90.00
Closest atoms and distances in Å follow each position.
Positions (direct):
Sb: 0.3344 0.8344 0.0000  6 Ge 2.97-3.07, 2 Mg 3.00
Sb: 0.8344 0.6656 0.0000  6 Ge 2.97-3.07, 2 Mg 3.00
Sb: 0.6656 0.1656 0.0000  6 Ge 2.97-3.07, 2 Mg 3.00
Sb: 0.1656 0.3344 0.0000  6 Ge 2.97-3.07, 2 Mg 3.00
Ge: 0.1332 0.6332 0.5000  6 Sb 2.97-3.07, 1 Ge 3.03
Ge: 0.6332 0.8668 0.5000  6 Sb 2.97-3.07, 1 Ge 3.03
Ge: 0.8668 0.3668 0.5000  6 Sb 2.97-3.07, 1 Ge 3.03
Ge: 0.3668 0.1332 0.5000  6 Sb 2.97-3.07, 1 Ge 3.03
Mg: 0.0000 0.0000 0.0000  4 Sb 3.00
Mg: 0.5000 0.5000 0.0000  4 Sb 3.00

Distance to the lowest polymorph of the same formula, eV per atom: 0.054

[5]
Density functional theory data (PBE) for an optimized crystal structure of MgGeSb2.

Unit cell a=3.2566 b=3.2566 c=11.3542 alpha=81.75 beta=81.75 gamma=60.00
Closest atoms and distances in Å follow each position.
Positions (direct):
Sb: 0.0890 0.0890 0.7331  1 Mg 2.99, 3 Ge 3.22, 6 Sb 3.26
Sb: 0.9110 0.9110 0.2669  1 Mg 2.99, 3 Ge 3.22, 6 Sb 3.26
Ge: 0.5000 0.5000 0.5000  6 Sb 3.22, 6 Ge 3.26
Mg: 0.0000 0.0000 0.0000  2 Sb 2.99, 6 Mg 3.26

[6]
Density functional theory data (PBE) for an optimized crystal structure of MgGe2Sb.

Unit cell a=6.3711 b=6.3711 c=7.4245 alpha=64.59 beta=64.59 gamma=90.00
Closest atoms and distances in Å follow each position.
Positions (direct):
Sb: 0.0000 0.0000 0.0000  4 Ge 2.69
Sb: 0.7500 0.2500 0.5000  4 Ge 2.69
Ge: 0.6245 0.1250 0.2500  2 Mg 2.69, 2 Sb 2.69
Ge: 0.1255 0.6250 0.2500  2 Mg 2.69, 2 Sb 2.69
Ge: 0.3750 0.3755 0.7500  2 Mg 2.69, 2 Sb 2.69
Ge: 0.8750 0.8745 0.7500  2 Mg 2.69, 2 Sb 2.69
Mg: 0.5000 0.5000 0.0000  4 Ge 2.69
Mg: 0.2500 0.7500 0.5000  4 Ge 2.69

Distance to the lowest polymorph of the same formula, eV per atom: 0.000

[7]
Density functional theory data (PBE) for an optimized crystal structure of MgGe2Sb2.

Unit cell a=3.7848 b=3.7848 c=8.8647 alpha=77.67 beta=77.67 gamma=90.00
Closest atoms and distances in Å follow each position.
Positions (direct):
Sb: 0.4024 0.4024 0.1952  4 Mg 3.14, 4 Ge 3.20, 1 Sb 3.30
Sb: 0.5976 0.5976 0.8048  4 Mg 3.14, 4 Ge 3.20, 1 Sb 3.30
Ge: 0.7500 0.2500 0.5000  4 Ge 2.68
Ge: 0.2500 0.7500 0.5000  4 Ge 2.68
Mg: 0.0000 0.0000 0.0000  8 Sb 3.14

Distance to the lowest polymorph of the same formula, eV per atom: 0.004

[8]
Density functional theory data (PBE) for an optimized crystal structure of MgGeSb2.

Unit cell a=5.1551 b=5.1551 c=5.1551 alpha=60.00 beta=60.00 gamma=60.00
Closest atoms and distances in Å follow each position.
Positions (direct):
Sb: 0.2500 0.2500 0.2500  4 Ge 3.16, 4 Mg 3.16
Sb: 0.7500 0.7500 0.7500  4 Ge 3.16, 4 Mg 3.16
Ge: 0.5000 0.5000 0.5000  8 Sb 3.16
Mg: 0.0000 0.0000 0.0000  8 Sb 3.16

[9]
Density functional theory data (PBE) for an optimized crystal structure of MgSiGeSb2.

Unit cell a=5.3615 b=4.9044 c=5.3615 alpha=90.00 beta=90.00 gamma=90.00
Closest atoms and distances in Å follow each position.
Positions (direct):
Mg: 0.0000 0.0000 0.0000  2 Ge 2.45, 4 Sb 2.68
Sb: 0.0000 0.0000 0.5000  2 Mg 2.68
Sb: 0.5000 0.0000 0.0000  2 Mg 2.68
Ge: 0.0000 0.5000 0.0000  2 Mg 2.45
Si: 0.5000 0.5000 0.5000  8 Sb 3.63, 4 Ge 3.79

[10]
Density functional theory data (PBE) for an optimized crystal structure of MgGeSb2Te.

Unit cell a=5.3780 b=5.3780 c=5.4082 alpha=90.00 beta=90.00 gamma=90.00
Closest atoms and distances in Å follow each position.
Positions (direct):
Sb: 0.0000 0.5000 0.0000  2 Ge 2.69
Sb: 0.5000 0.0000 0.0000  2 Ge 2.69
Ge: 0.0000 0.0000 0.0000  4 Sb 2.69, 2 Te 2.70
Te: 0.0000 0.0000 0.5000  2 Ge 2.70
Mg: 0.5000 0.5000 0.5000  4 Te 3.80, 8 Sb 3.81

Distance to the lowest polymorph of the same formula, eV per atom: 0.000

[11]
Density functional theory data (PBE) for an optimized crystal structure of MgGeSb2Te.

Unit cell a=5.3055 b=5.3055 c=5.5211 alpha=90.00 beta=90.00 gamma=90.00
Closest atoms and distances in Å follow each position.
Positions (direct):
Sb: 0.0000 0.5000 0.0000  2 Mg 2.65
Sb: 0.5000 0.0000 0.0000  2 Mg 2.65
Ge: 0.5000 0.5000 0.5000  4 Te 3.75, 8 Sb 3.83
Te: 0.0000 0.0000 0.5000  2 Mg 2.76
Mg: 0.0000 0.0000 0.0000  4 Sb 2.65, 2 Te 2.76

Distance to the lowest polymorph of the same formula, eV per atom: 0.118

[12]
Density functional theory data (PBE) for an optimized crystal structure of YMg2GeSb.

Unit cell a=4.9113 b=5.6154 c=4.9113 alpha=90.00 beta=90.00 gamma=90.00
Closest atoms and distances in Å follow each position.
Positions (direct):
Y: 0.0000 0.5000 0.0000  2 Ge 2.81
Sb: 0.5000 0.5000 0.5000  4 Y 3.47, 8 Mg 3.73
Ge: 0.0000 0.0000 0.0000  4 Mg 2.46
Mg: 0.0000 0.0000 0.5000  2 Ge 2.46
Mg: 0.5000 0.0000 0.0000  2 Ge 2.46

[13]
Density functional theory data (PBE) for an optimized crystal structure of MgZr2GeSb.

Unit cell a=5.3532 b=5.0070 c=5.3532 alpha=90.00 beta=90.00 gamma=90.00
Closest atoms and distances in Å follow each position.
Positions (direct):
Sb: 0.0000 0.0000 0.0000  2 Mg 2.50, 4 Zr 2.68
Ge: 0.5000 0.5000 0.5000  8 Zr 3.66, 4 Mg 3.79
Mg: 0.0000 0.5000 0.0000  2 Sb 2.50
Zr: 0.0000 0.0000 0.5000  2 Sb 2.68
Zr: 0.5000 0.0000 0.0000  2 Sb 2.68

Calculated magnetization in order - 0.00; 0.00; 0.00; 0.00; 0.00; 0.00; 0.00; 0.00; 0.00; 0.00; 0.00; 0.00; 0.00 μB per cell
Calculated total energy in order - -3.6611; -3.4193; -3.6901; -3.6357; -3.3667; -3.5611; -3.6858; -3.5231; -3.0644; -3.0350; -2.9169; -3.9898; -4.8441 eV/atom
Calculated energy relative to the elements, uncorrected in order - 154; 25; 125; 179; 247; 177; 129; 91; 912; 485; 603; -311; 642 meV per atom